1.
Density functional theory data (PBE-GGA) for crystalline PmErPa2As4 at its relaxed geometry.

Values from the calculation:
- Energy of formation: -1272 meV/atom
- E_tot: -0.5244 Ry per atom
- Total magnetic moment: 0.00 μB per formula unit

The structure in CIF format:
```
data_PmErPa2As4
_chemical_formula_sum 'Pm1 Er1 Pa2 As4'
_cell_length_a 7.1363
_cell_length_b 4.1219
_cell_length_c 7.1408
_cell_angle_alpha 90.00
_cell_angle_beta 109.47
_cell_angle_gamma 90.00
_symmetry_space_group_name_H-M 'P 1 2/m 1'
_symmetry_Int_Tables_number 10
_symmetry_space_group_name_Hall '-P 2y'
loop_
_atom_site_label
_atom_site_fract_x
_atom_site_fract_y
_atom_site_fract_z
Pm1 0.0000 0.0000 0.0000
Er1 0.0000 0.5000 0.5000
Pa1 0.5000 0.0000 0.5000
Pa2 0.5000 0.5000 0.0000
As1 0.2534 0.0000 0.7467
As2 0.2569 0.5000 0.2568
```

2.
Density functional theory data (PBE-GGA) for crystalline ScZn2Re at its relaxed geometry.

Values from the calculation:
- Energy of formation: 39 meV/atom
- E_tot: -0.3890 Ry per atom
- Total magnetic moment: 0.00 μB per formula unit

The structure in CIF format:
```
data_ScZn2Re
_chemical_formula_sum 'Sc4 Zn8 Re4'
_cell_length_a 6.3186
_cell_length_b 6.3186
_cell_length_c 6.3186
_cell_angle_alpha 90.00
_cell_angle_beta 90.00
_cell_angle_gamma 90.00
_symmetry_space_group_name_H-M 'F m -3 m'
_symmetry_Int_Tables_number 225
_symmetry_space_group_name_Hall '-F 4 2 3'
loop_
_atom_site_label
_atom_site_fract_x
_atom_site_fract_y
_atom_site_fract_z
Sc1 0.0000 0.0000 0.0000
Zn1 0.2500 0.2500 0.2500
Re1 0.0000 0.0000 0.5000
```

3.
Density functional theory data (PBE-GGA) for crystalline Tm4In5Hg2 at its relaxed geometry.

Values from the calculation:
- Energy of formation: -379 meV/atom
- E_tot: -0.2429 Ry per atom
- Total magnetic moment: 0.00 μB per formula unit

The structure in CIF format:
```
data_Tm4In5Hg2
_chemical_formula_sum 'Tm4 In5 Hg2'
_cell_length_a 7.9035
_cell_length_b 3.4879
_cell_length_c 10.0798
_cell_angle_alpha 90.00
_cell_angle_beta 95.10
_cell_angle_gamma 90.00
_symmetry_space_group_name_H-M 'P 1 2/m 1'
_symmetry_Int_Tables_number 10
_symmetry_space_group_name_Hall '-P 2y'
loop_
_atom_site_label
_atom_site_fract_x
_atom_site_fract_y
_atom_site_fract_z
Tm1 0.1777 0.0000 0.3840
Tm2 0.2657 0.0000 0.9399
In1 0.1798 0.5000 0.6569
In2 0.4512 0.5000 0.1929
In3 0.5000 0.5000 0.5000
Hg1 0.0695 0.5000 0.1385
```

4.
Density functional theory data (PBE-GGA) for crystalline Ac3In5Hg6 at its relaxed geometry.

Values from the calculation:
- Energy of formation: -369 meV/atom
- E_tot: -0.1732 Ry per atom
- Total magnetic moment: 0.00 μB per formula unit

The structure in CIF format:
```
data_Ac3In5Hg6
_chemical_formula_sum 'Ac6 In10 Hg12'
_cell_length_a 4.9634
_cell_length_b 14.5769
_cell_length_c 10.8101
_cell_angle_alpha 90.00
_cell_angle_beta 90.00
_cell_angle_gamma 90.00
_symmetry_space_group_name_H-M 'P m m n'
_symmetry_Int_Tables_number 59
loop_
_symmetry_equiv_pos_as_xyz
'x,y,z'
'-x,-y,-z'
'-x+1/2,-y+1/2,z'
'x+1/2,y+1/2,-z'
'x+1/2,-y,-z'
'-x+1/2,y,z'
'-x,y+1/2,-z'
'x,-y+1/2,z'
loop_
_atom_site_label
_atom_site_fract_x
_atom_site_fract_y
_atom_site_fract_z
Ac1 0.2500 0.0580 0.2457
Ac2 0.2500 0.7500 0.2436
In1 0.2500 0.0985 0.8795
In2 0.2500 0.6093 0.5246
In3 0.2500 0.7500 0.7639
Hg1 0.2500 0.0872 0.6170
Hg2 0.2500 0.2500 0.0593
Hg3 0.2500 0.2500 0.4355
Hg4 0.2500 0.5951 0.9750
```